Material: SrCo6O11
Method: DFT, PBE with a Hubbard U
State: optimized geometry

abc: 5.639 5.639 12.813
angles: 90.00 90.00 120.00
Fractional coordinates of all 36 atoms:
Sr (0.333, 0.667, 0.250)
Sr (0.667, 0.333, 0.750)
Co (0.000, 0.000, 0.149)
Co (0.000, 0.000, 0.351)
Co (0.000, 0.000, 0.649)
Co (0.000, 0.000, 0.851)
Co (0.000, 0.500, 0.000)
Co (0.000, 0.500, 0.500)
Co (0.333, 0.667, 0.750)
Co (0.500, 0.000, 0.000)
Co (0.500, 0.000, 0.500)
Co (0.500, 0.500, 0.000)
Co (0.500, 0.500, 0.500)
Co (0.667, 0.333, 0.250)
O (0.143, 0.287, 0.750)
O (0.143, 0.857, 0.750)
O (0.176, 0.351, 0.079)
O (0.176, 0.351, 0.421)
O (0.176, 0.824, 0.079)
O (0.176, 0.824, 0.421)
O (0.287, 0.143, 0.250)
O (0.333, 0.667, 0.578)
O (0.333, 0.667, 0.922)
O (0.351, 0.176, 0.579)
O (0.351, 0.176, 0.921)
O (0.649, 0.824, 0.079)
O (0.649, 0.824, 0.421)
O (0.667, 0.333, 0.078)
O (0.667, 0.333, 0.422)
O (0.713, 0.857, 0.750)
O (0.824, 0.176, 0.579)
O (0.824, 0.176, 0.921)
O (0.824, 0.649, 0.579)
O (0.824, 0.649, 0.921)
O (0.857, 0.143, 0.250)
O (0.857, 0.713, 0.250)

SG: P6_3/mmc
DFT total energy, eV/atom: -5.96